Entry from the Alexandria database: a geometry-optimized NdTmTeO2 structure (PBE).

It has space group P2_1/m (No. 11), with a = 6.9010 Å, b = 4.1257 Å, c = 7.8508 Å, α = 90.00°, β = 107.43° and γ = 90.00°. The asymmetric unit holds Nd at (0.1804, 0.2500, 0.4258), Tm at (0.1526, 0.2500, 0.9135), Te at (0.4523, 0.7500, 0.7537), O at (0.0126, 0.7500, 0.8873) and O at (0.0161, 0.7500, 0.3700).

The calculated total energy is -7.39 eV/atom. Its crystal system is monoclinic.